No. 1
The following is a DFT calculation (PBE) of a relaxed NbTl3Cl crystal.

a = 5.629 Å, b = 5.629 Å, c = 5.629 Å
α = 90.00°, β = 90.00°, γ = 90.00°
Last column: magnetic moment on the atom in μB.
Positions (direct):
1 Cl 0.500 0.500 0.500  0.13
2 Tl 0.000 0.000 0.500  0.11
3 Tl 0.000 0.500 0.000  0.13
4 Nb 0.000 0.000 0.000  1.76
5 Tl 0.500 0.000 0.000  0.07

Computed properties:
Symmetry: Pm-3m, No. 221
Crystal system: cubic
E above lowest polymorph (eV per atom): 0.000
Total energy (eV per atom): -3.400
Formation energy (no corrections) (eV per atom): 0.40

=====

No. 2
The following is a DFT calculation (PBE) of a relaxed NpUS3 crystal.

a = 6.973 Å, b = 7.069 Å, c = 7.069 Å
α = 120.00°, β = 90.00°, γ = 90.00°
Last column: magnetic moment on the atom in μB.
Positions (direct):
1 U 0.500 0.667 0.333  2.42
2 S 0.750 0.336 0.245  -0.10
3 S 0.250 0.336 0.091  -0.10
4 S 0.750 0.755 0.091  -0.10
5 S 0.250 0.909 0.245  -0.10
6 S 0.250 0.755 0.664  -0.10
7 U 0.000 0.667 0.333  2.42
8 Np 0.500 0.000 0.000  3.88
9 S 0.750 0.909 0.664  -0.10
10 Np 0.000 0.000 0.000  3.88

Computed properties:
Symmetry: P-6c2, No. 188
Crystal system: hexagonal
E above lowest polymorph (eV per atom): 0.151
Total energy (eV per atom): -8.644
Formation energy (no corrections) (eV per atom): -1.32

=====

No. 3
The following is a DFT calculation (PBE) of a relaxed Ac3La2Nd crystal.

a = 7.267 Å, b = 9.576 Å, c = 7.267 Å
α = 82.15°, β = 83.27°, γ = 97.85°
Positions (direct):
1 La 0.615 0.881 0.879
2 Nd 0.888 0.250 0.888
3 Ac 0.697 0.517 0.137
4 La 0.121 0.381 0.385
5 Ac 0.433 0.750 0.433
6 Nd 0.112 0.750 0.112
7 Ac 0.303 0.483 0.863
8 Ac 0.863 0.017 0.303
9 La 0.879 0.619 0.615
10 La 0.385 0.119 0.121
11 Ac 0.137 0.983 0.697
12 Ac 0.567 0.250 0.567

Computed properties:
Formation energy (eV per atom): 0.08
Symmetry: C2/c, No. 15
Crystal system: monoclinic
E above lowest polymorph (eV per atom): 0.035
Total energy (eV per atom): -4.408

=====

No. 4
The following is a DFT calculation (PBE) of a relaxed Pb3W3N5 crystal.

a = 6.207 Å, b = 8.074 Å, c = 8.737 Å
α = 108.65°, β = 96.58°, γ = 100.84°
Positions (direct):
1 N 0.694 0.062 0.423
2 W 0.072 0.690 0.030
3 W 0.935 0.096 0.298
4 N 0.962 0.126 0.775
5 N 0.038 0.874 0.225
6 Pb 0.561 0.653 0.223
7 Pb 0.744 0.449 0.511
8 W 0.647 0.988 0.618
9 Pb 0.485 0.198 0.113
10 N 0.790 0.518 0.971
11 W 0.065 0.904 0.702
12 N 0.210 0.482 0.029
13 N 0.905 0.202 0.133
14 N 0.095 0.798 0.867
15 Pb 0.256 0.551 0.489
16 Pb 0.439 0.347 0.777
17 W 0.353 0.012 0.382
18 N 0.792 0.780 0.552
19 Pb 0.515 0.802 0.887
20 N 0.306 0.938 0.577
21 N 0.208 0.220 0.448
22 W 0.928 0.310 0.970

Computed properties:
Symmetry: P-1, No. 2
Crystal system: triclinic
Total energy (eV per atom): -8.231
Formation energy (no corrections) (eV per atom): 0.10

=====

No. 5
The following is a DFT calculation (PBE) of a relaxed HoP2Pt7Pb2 crystal.

a = 3.986 Å, b = 3.986 Å, c = 15.365 Å
α = 82.50°, β = 82.50°, γ = 89.96°
Positions (direct):
1 Pt 0.309 0.309 0.382
2 Pt 0.691 0.691 0.618
3 Pt 0.573 0.073 0.855
4 Pb 0.789 0.789 0.422
5 P 0.384 0.384 0.231
6 Pb 0.211 0.211 0.578
7 Ho 0.000 0.000 0.000
8 Pt 0.427 0.927 0.145
9 P 0.616 0.616 0.769
10 Pt 0.073 0.573 0.855
11 Pt 0.500 0.500 0.000
12 Pt 0.927 0.427 0.145

Computed properties:
Formation energy (eV per atom): -0.64
Symmetry: C2/m, No. 12
Crystal system: monoclinic
Total energy (eV per atom): -6.065

=====

No. 6
The following is a DFT calculation (PBE) of a relaxed BaNa crystal.

a = 11.959 Å, b = 11.959 Å, c = 11.959 Å
α = 60.00°, β = 60.00°, γ = 60.00°
Positions (direct):
1 Na 0.875 0.375 0.375
2 Ba 0.809 0.809 0.191
3 Ba 0.191 0.191 0.809
4 Na 0.171 0.171 0.487
5 Ba 0.941 0.559 0.559
6 Ba 0.941 0.941 0.559
7 Ba 0.559 0.559 0.941
8 Na 0.171 0.171 0.171
9 Na 0.263 0.579 0.579
10 Ba 0.941 0.559 0.941
11 Ba 0.191 0.809 0.809
12 Ba 0.809 0.191 0.809
13 Na 0.579 0.579 0.579
14 Na 0.375 0.875 0.375
15 Ba 0.559 0.941 0.559
16 Na 0.171 0.487 0.171
17 Na 0.579 0.579 0.263
18 Na 0.375 0.375 0.875
19 Ba 0.809 0.191 0.191
20 Ba 0.559 0.941 0.941
21 Na 0.375 0.375 0.375
22 Na 0.487 0.171 0.171
23 Ba 0.191 0.809 0.191
24 Na 0.579 0.263 0.579

Computed properties:
Formation energy (eV per atom): -0.02
Symmetry: Fd-3m, No. 227
Crystal system: cubic
E above lowest polymorph (eV per atom): 0.000
Total energy (eV per atom): -1.641

=====

No. 7
The following is a DFT calculation (PBE) of a relaxed GaAs2RuSe crystal.

a = 4.768 Å, b = 4.768 Å, c = 4.874 Å
α = 90.00°, β = 90.00°, γ = 90.00°
Last column: magnetic moment on the atom in μB.
Positions (direct):
1 As 0.000 0.500 0.000  -0.11
2 As 0.500 0.000 0.000  -0.11
3 Ga 0.000 0.000 0.000  -0.01
4 Ru 0.500 0.500 0.500  1.79
5 Se 0.000 0.000 0.500  -0.06

Computed properties:
Symmetry: P4/mmm, No. 123
Crystal system: tetragonal
E above lowest polymorph (eV per atom): 0.805
Total energy (eV per atom): -3.851
Formation energy (no corrections) (eV per atom): 1.17

=====

No. 8
The following is a DFT calculation (PBE) of a relaxed Ce6Ge2Sb3Te crystal.

a = 4.403 Å, b = 8.864 Å, c = 9.875 Å
α = 103.17°, β = 102.88°, γ = 90.00°
Last column: magnetic moment on the atom in μB.
Positions (direct):
1 Ce 0.993 0.744 0.987  0.71
2 Sb 0.163 0.832 0.326  0.00
3 Sb 0.500 0.500 0.000  -0.02
4 Ce 0.670 0.573 0.341  0.61
5 Te 0.500 0.000 0.000  -0.01
6 Ce 0.007 0.256 0.013  0.71
7 Ce 0.331 0.903 0.661  -0.66
8 Sb 0.837 0.168 0.674  0.00
9 Ge 0.832 0.668 0.665  -0.01
10 Ce 0.330 0.427 0.659  0.61
11 Ce 0.669 0.097 0.339  -0.66
12 Ge 0.168 0.332 0.335  -0.01

Computed properties:
Symmetry: C2/m, No. 12
Crystal system: monoclinic
Total energy (eV per atom): -6.007
Formation energy (no corrections) (eV per atom): -0.98